Record 1
First-principles (PBE) data for a relaxed structure of TaAlFe2, as listed in Alexandria.

## Properties
Energy of formation from the pure elements   -0.045 eV per atom

Cell: 4.280 4.280 4.280 Å, 60.00 60.00 60.00°
Positions (direct):
Ta (0.000, 0.000, 0.000)
Al (0.250, 0.250, 0.250)
Fe (0.500, 0.500, 0.500)
Fe (0.750, 0.750, 0.750)

***

Record 2
First-principles (PBE) data for a relaxed structure of PtAuSe3, as listed in Alexandria.

## Properties
Distance to the lowest polymorph of the same formula   0.455 eV/atom
E_form (uncorrected)   1.13 eV per atom

Cell: 5.030 5.030 5.030 Å, 90.00 90.00 90.00°
Positions (direct):
Pt (0.000, 0.000, 0.000)
Au (0.500, 0.500, 0.500)
Se (0.000, 0.500, 0.500)
Se (0.500, 0.000, 0.500)
Se (0.500, 0.500, 0.000)

***

Record 3
First-principles (PBE) data for a relaxed structure of LiNdH2, as listed in Alexandria.

Cell: 5.800 5.800 5.800 Å, 33.93 33.93 33.93°
Positions (direct):
Li (0.000, 0.000, 0.000)
Nd (0.500, 0.500, 0.500)
H (0.262, 0.262, 0.262)
H (0.738, 0.738, 0.738)

***

Record 4
First-principles (PBE) data for a relaxed structure of TbY2Ir, as listed in Alexandria.

## Properties
Energy of formation from the pure elements   -0.565 eV per atom
Distance to the lowest polymorph of the same formula   0.000 eV/atom

Cell: 7.250 9.330 6.434 Å, 90.00 90.00 90.00°
Positions (direct):
Tb (0.036, 0.250, 0.134)
Tb (0.464, 0.750, 0.634)
Tb (0.536, 0.250, 0.366)
Tb (0.964, 0.750, 0.866)
Y (0.176, 0.063, 0.674)
Y (0.176, 0.437, 0.674)
Y (0.324, 0.563, 0.174)
Y (0.324, 0.937, 0.174)
Y (0.676, 0.063, 0.826)
Y (0.676, 0.437, 0.826)
Y (0.824, 0.563, 0.326)
Y (0.824, 0.937, 0.326)
Ir (0.118, 0.750, 0.456)
Ir (0.382, 0.250, 0.956)
Ir (0.618, 0.750, 0.044)
Ir (0.882, 0.250, 0.544)

***

Record 5
First-principles (PBE) data for a relaxed structure of NaBiSb2N, as listed in Alexandria.

## Properties
E_form (uncorrected)   0.26 eV per atom

Cell: 4.838 4.838 4.779 Å, 90.00 90.00 90.00°
Positions (direct):
Na (0.000, 0.000, 0.000)
Bi (0.500, 0.500, 0.000)
Sb (0.000, 0.500, 0.500)
Sb (0.500, 0.000, 0.500)
N (0.000, 0.000, 0.500)

***

Record 6
First-principles (PBE) data for a relaxed structure of HfNb2Br, as listed in Alexandria.

## Properties
Distance to the lowest polymorph of the same formula   0.141 eV/atom
E_form (uncorrected)   0.71 eV per atom

Cell: 4.777 4.777 4.777 Å, 60.00 60.00 60.00°
Positions (direct):
Hf (0.000, 0.000, 0.000)
Nb (0.250, 0.250, 0.250)
Nb (0.750, 0.750, 0.750)
Br (0.500, 0.500, 0.500)

***

Here are the calculated N(E_F) numbers, same order: 0.9074 1.3381 0.1171 1.0922 0.6728 1.3006 (states/eV/atom).
Here are the calculated E numbers, same order: -8.18 -2.82 -3.64 -7.17 -4.10 -7.23 (eV/atom).